Compound: Y2Ho6Pu
Source: Alexandria
Functional: PBE
Structure: optimized geometry

The energy above the lowest structure with this stoichiometry is 76 meV/atom. The theoretical density is 8.1 g/cm3. Its magnetic moment is 4.4 μB per formula unit. Its raw total energy is -5.7487 eV per atom.

It has space group R3m (No. 160, hexagonal axes), with a = 7.2633 Å, b = 7.2633 Å, c = 18.9038 Å, α = 90.00°, β = 90.00° and γ = 120.00°. The inequivalent atoms are Y at (0.0000, 0.0000, 0.0000), Y at (0.0000, 0.0000, 0.1788), Ho at (0.1722, 0.3445, 0.3259), Ho at (0.1823, 0.3646, 0.5181) and Pu at (0.0000, 0.0000, 0.4339).